# PBE-GGA Ce2SmSi, optimized geometry
data_Ce2SmSi
_cell_length_a 3.858
_cell_length_b 3.858
_cell_length_c 7.264
_cell_angle_alpha 90.00
_cell_angle_beta 90.00
_cell_angle_gamma 90.00
_space_group_name_H-M_alt 'P 4/m m m'
_space_group_IT_number 123
_space_group_name_Hall '-P 4 2'
loop_
_atom_site_label
_atom_site_type_symbol
_atom_site_fract_x
_atom_site_fract_y
_atom_site_fract_z
_atom_site_occupancy
Ce1 Ce 0.000 0.000 0.186 1
Sm1 Sm 0.500 0.500 0.500 1
Si1 Si 0.500 0.500 0.000 1
# Relative energy among the computed polymorphs   124 meV per atom
# Crystal system   tetragonal
# ΔE_f (raw)   -266 meV/atom


# PBE-GGA LiTa3Fe, optimized geometry
data_LiTa3Fe
_cell_length_a 4.611
_cell_length_b 4.611
_cell_length_c 4.611
_cell_angle_alpha 90.00
_cell_angle_beta 90.00
_cell_angle_gamma 90.00
_space_group_name_H-M_alt 'P m -3 m'
_space_group_IT_number 221
_space_group_name_Hall '-P 4 2 3'
loop_
_atom_site_label
_atom_site_type_symbol
_atom_site_fract_x
_atom_site_fract_y
_atom_site_fract_z
_atom_site_occupancy
Li1 Li 0.000 0.000 0.000 1
Ta1 Ta 0.000 0.500 0.500 1
Fe1 Fe 0.500 0.500 0.500 1
# Relative energy among the computed polymorphs   0 meV per atom
# Crystal system   cubic
# DFT formation energy   4.13 eV/f.u.


# PBE-GGA AcTb3Pm6Y2, optimized geometry
data_AcTb3Pm6Y2
_cell_length_a 6.313
_cell_length_b 10.932
_cell_length_c 12.085
_cell_angle_alpha 90.00
_cell_angle_beta 100.05
_cell_angle_gamma 90.00
_space_group_name_H-M_alt 'C 1 2/m 1'
_space_group_IT_number 12
loop_
_space_group_symop_operation_xyz
'x,y,z'
'-x,-y,-z'
'-x,y,-z'
'x,-y,z'
'x+1/2,y+1/2,z'
'-x+1/2,-y+1/2,-z'
'-x+1/2,y+1/2,-z'
'x+1/2,-y+1/2,z'
loop_
_atom_site_label
_atom_site_type_symbol
_atom_site_fract_x
_atom_site_fract_y
_atom_site_fract_z
_atom_site_occupancy
Ac1 Ac 0.000 0.000 0.000 1
Tb1 Tb 0.000 0.167 0.500 1
Tb2 Tb 0.000 0.500 0.500 1
Pm1 Pm 0.247 0.332 0.745 1
Pm2 Pm 0.249 0.500 0.255 1
Y1 Y 0.000 0.333 0.000 1
# Crystal system   monoclinic
# DFT formation energy   0.29 eV/f.u.


# PBE-GGA SiAg2P, optimized geometry
data_SiAg2P
_cell_length_a 7.345
_cell_length_b 7.345
_cell_length_c 5.344
_cell_angle_alpha 90.00
_cell_angle_beta 90.00
_cell_angle_gamma 90.00
_space_group_name_H-M_alt 'I -4 2 d'
_space_group_IT_number 122
_space_group_name_Hall 'I -4 2bw'
loop_
_atom_site_label
_atom_site_type_symbol
_atom_site_fract_x
_atom_site_fract_y
_atom_site_fract_z
_atom_site_occupancy
Si1 Si 0.000 0.000 0.000 1
Ag1 Ag 0.241 0.250 0.625 1
P1 P 0.000 0.000 0.500 1
# Relative energy among the computed polymorphs   342 meV per atom
# Crystal system   tetragonal
# ΔE_f (raw)   505 meV/atom


# PBE-GGA Mo2WAuN, optimized geometry
data_Mo2WAuN
_cell_length_a 4.160
_cell_length_b 4.160
_cell_length_c 4.117
_cell_angle_alpha 90.00
_cell_angle_beta 90.00
_cell_angle_gamma 90.00
_space_group_name_H-M_alt 'P 4/m m m'
_space_group_IT_number 123
_space_group_name_Hall '-P 4 2'
loop_
_atom_site_label
_atom_site_type_symbol
_atom_site_fract_x
_atom_site_fract_y
_atom_site_fract_z
_atom_site_occupancy
Mo1 Mo 0.000 0.500 0.000 1
W1 W 0.000 0.000 0.500 1
Au1 Au 0.500 0.500 0.500 1
N1 N 0.000 0.000 0.000 1
# Crystal system   tetragonal
# ΔE_f (raw)   -9 meV/atom


# PBE-GGA KPrPt10, optimized geometry
data_KPrPt10
_cell_length_a 4.387
_cell_length_b 5.501
_cell_length_c 9.442
_cell_angle_alpha 90.00
_cell_angle_beta 90.00
_cell_angle_gamma 90.00
_space_group_name_H-M_alt 'P m m m'
_space_group_IT_number 47
loop_
_space_group_symop_operation_xyz
'x,y,z'
'-x,-y,-z'
'-x,-y,z'
'x,y,-z'
'x,-y,-z'
'-x,y,z'
'-x,y,-z'
'x,-y,z'
loop_
_atom_site_label
_atom_site_type_symbol
_atom_site_fract_x
_atom_site_fract_y
_atom_site_fract_z
_atom_site_occupancy
K1 K 0.000 0.000 0.000 1
Pr1 Pr 0.000 0.500 0.500 1
Pt1 Pt 0.000 0.000 0.335 1
Pt2 Pt 0.000 0.500 0.168 1
Pt3 Pt 0.500 0.000 0.500 1
Pt4 Pt 0.500 0.254 0.255 1
Pt5 Pt 0.500 0.500 0.000 1
# Crystal system   orthorhombic
# DFT formation energy   -5.06 eV/f.u.


# PBE-GGA HfHS, optimized geometry
data_HfHS
_cell_length_a 3.336
_cell_length_b 3.336
_cell_length_c 34.287
_cell_angle_alpha 90.00
_cell_angle_beta 90.00
_cell_angle_gamma 90.00
_space_group_name_H-M_alt 'P 41 2 2'
_space_group_IT_number 91
loop_
_space_group_symop_operation_xyz
'x,y,z'
'-y,x,z+1/4'
'-x,-y,z+1/2'
'y,-x,z+3/4'
'x,-y,-z+1/2'
'-y,-x,-z+1/4'
'-x,y,-z'
'y,x,-z+3/4'
loop_
_atom_site_label
_atom_site_type_symbol
_atom_site_fract_x
_atom_site_fract_y
_atom_site_fract_z
_atom_site_occupancy
Hf1 Hf 0.234 0.235 0.333 1
H1 H 0.235 0.265 0.125 1
S1 S 0.265 0.266 0.948 1
# Crystal system   tetragonal
# Calculated total energy   -6.780 eV per atom


# PBE-GGA NaHoGa2, optimized geometry
data_NaHoGa2
_cell_length_a 4.929
_cell_length_b 4.929
_cell_length_c 3.645
_cell_angle_alpha 90.00
_cell_angle_beta 90.00
_cell_angle_gamma 90.00
_space_group_name_H-M_alt 'P 4/m m m'
_space_group_IT_number 123
_space_group_name_Hall '-P 4 2'
loop_
_atom_site_label
_atom_site_type_symbol
_atom_site_fract_x
_atom_site_fract_y
_atom_site_fract_z
_atom_site_occupancy
Na1 Na 0.000 0.000 0.000 1
Ho1 Ho 0.500 0.500 0.000 1
Ga1 Ga 0.000 0.500 0.500 1
# Relative energy among the computed polymorphs   0 meV per atom
# Crystal system   tetragonal
# DFT formation energy   -1.23 eV/f.u.


# PBE-GGA SrFeMo2, optimized geometry
data_SrFeMo2
_cell_length_a 6.629
_cell_length_b 6.629
_cell_length_c 6.629
_cell_angle_alpha 90.00
_cell_angle_beta 90.00
_cell_angle_gamma 90.00
_space_group_name_H-M_alt 'F -4 3 m'
_space_group_IT_number 216
_space_group_name_Hall 'F -4 2 3'
loop_
_atom_site_label
_atom_site_type_symbol
_atom_site_fract_x
_atom_site_fract_y
_atom_site_fract_z
_atom_site_occupancy
Sr1 Sr 0.000 0.000 0.000 1
Fe1 Fe 0.250 0.250 0.750 1
Mo1 Mo 0.000 0.000 0.500 1
Mo2 Mo 0.250 0.250 0.250 1
# Relative energy among the computed polymorphs   392 meV per atom
# Crystal system   cubic
# DFT formation energy   4.01 eV/f.u.


# PBE-GGA Cu3TcPt, optimized geometry
data_Cu3TcPt
_cell_length_a 4.526
_cell_length_b 4.526
_cell_length_c 4.526
_cell_angle_alpha 90.00
_cell_angle_beta 90.00
_cell_angle_gamma 90.00
_space_group_name_H-M_alt 'P m -3 m'
_space_group_IT_number 221
_space_group_name_Hall '-P 4 2 3'
loop_
_atom_site_label
_atom_site_type_symbol
_atom_site_fract_x
_atom_site_fract_y
_atom_site_fract_z
_atom_site_occupancy
Cu1 Cu 0.000 0.000 0.500 1
Tc1 Tc 0.000 0.000 0.000 1
Pt1 Pt 0.500 0.500 0.500 1
# Relative energy among the computed polymorphs   291 meV per atom
# Crystal system   cubic
# DFT formation energy   8.07 eV/f.u.


# PBE-GGA MnV2Pt, optimized geometry
data_MnV2Pt
_cell_length_a 2.784
_cell_length_b 2.784
_cell_length_c 6.840
_cell_angle_alpha 90.00
_cell_angle_beta 90.00
_cell_angle_gamma 90.00
_space_group_name_H-M_alt 'P 4/m m m'
_space_group_IT_number 123
_space_group_name_Hall '-P 4 2'
loop_
_atom_site_label
_atom_site_type_symbol
_atom_site_fract_x
_atom_site_fract_y
_atom_site_fract_z
_atom_site_occupancy
Mn1 Mn 0.000 0.000 0.000 1
V1 V 0.500 0.500 0.217 1
Pt1 Pt 0.000 0.000 0.500 1
# Crystal system   tetragonal
# DFT formation energy   -1.27 eV/f.u.


# PBE-GGA BeTeAs2, optimized geometry
data_BeTeAs2
_cell_length_a 4.292
_cell_length_b 3.770
_cell_length_c 5.229
_cell_angle_alpha 90.00
_cell_angle_beta 103.07
_cell_angle_gamma 90.00
_space_group_name_H-M_alt 'P 1 2/m 1'
_space_group_IT_number 10
loop_
_space_group_symop_operation_xyz
'x,y,z'
'-x,-y,-z'
'-x,y,-z'
'x,-y,z'
loop_
_atom_site_label
_atom_site_type_symbol
_atom_site_fract_x
_atom_site_fract_y
_atom_site_fract_z
_atom_site_occupancy
Be1 Be 0.000 0.000 0.000 1
Te1 Te 0.500 0.000 0.500 1
As1 As 0.244 0.500 0.835 1
# Relative energy among the computed polymorphs   127 meV per atom
# Crystal system   monoclinic
# ΔE_f (raw)   181 meV/atom


Calculated DOS at the Fermi energy in order - 2.500, 1.268, 1.327, 0.554, 0.663, 0.573, 0.333, 0.473, 1.042, 1.610, 0.888, 0.232 states/eV per atom